Compound: MnCo3H
Source: Alexandria
Functional: PBE
Structure: relaxed

Properties
* VASP energy: -0.36620 Ry/atom
* polymorph energy (0 for the lowest one): 1.739 eV/atom
* DOS(E_F): 6.24 states/eV per cell
* symmetry: Pm-3m, No. 221

Cell lengths 4.165, 4.165, 4.165 Å; angles 90.00, 90.00, 90.00 degrees
Last column: magnetic moment on the atom in μB.
Fractional coordinates of all 5 atoms:
Co: 0.500 0.000 0.000  0.56
Co: 0.000 0.500 0.000  0.78
Co: 0.000 0.000 0.500  1.01
Mn: 0.000 0.000 0.000  0.22
H: 0.500 0.500 0.500  0.13